Below is a relaxed structure of Th4IrPb2, with properties calculated at the GGA-PBE level.

Output
raw total energy	-0.25370	hartree per atom
ΔE_f	-32.6	kJ per mole of atoms
space group	P2_1/m (11)

Cell: 6.442 6.696 10.826 Å, 90.00 114.92 90.00°
Positions (direct):
1 Th 0.524 0.479 0.263
2 Th 0.069 0.750 0.898
3 Th 0.931 0.250 0.102
4 Th 0.524 0.021 0.263
5 Th 0.909 0.250 0.604
6 Th 0.476 0.979 0.737
7 Th 0.476 0.521 0.737
8 Th 0.091 0.750 0.396
9 Ir 0.164 0.750 0.168
10 Ir 0.836 0.250 0.832
11 Pb 0.677 0.750 0.047
12 Pb 0.323 0.250 0.953
13 Pb 0.249 0.250 0.439
14 Pb 0.751 0.750 0.561